{
  "formula": "Rb2Ba2WO6",
  "functional": "GGA+U",
  "state": "relaxed",
  "cell": [[3.2827, -5.4837, 0.0000], [3.2827, 5.4837, 0.0000], [-1.7147, 0.0000, 6.6391]],
  "species": ["Rb", "Rb", "Ba", "Ba", "W", "O", "O", "O", "O", "O", "O"],
  "frac_coords": [[0.1562, 0.8438, 0.0000], [0.8438, 0.1562, 0.0000], [0.3379, 0.6621, 0.5000], [0.6621, 0.3379, 0.5000], [0.0000, 0.0000, 0.5000], [0.0415, 0.3019, 0.6644], [0.1971, 0.1971, 0.3223], [0.3019, 0.0415, 0.6644], [0.6981, 0.9585, 0.3356], [0.8029, 0.8029, 0.6777], [0.9585, 0.6981, 0.3356]],
  "dft_energy_ev_per_atom": -6.07,
  "space_group": "No. 12",
  "volume_a3_per_cell": 239.0,
  "crystal_system": "monoclinic"
}